A plane-wave DFT calculation with GGA-PBE was carried out for crystalline ZrZnSn at its relaxed geometry.

Lattice parameters (Å, degrees): 4.342 4.342 3.801 90.00 90.00 120.00
Fractional coordinates of all 3 atoms:
Zr: 0.000 0.000 0.000
Zn: 0.333 0.667 0.651
Sn: 0.667 0.333 0.456

SG = P3m1


A plane-wave DFT calculation with GGA-PBE was carried out for crystalline ZrZnSn3 at its relaxed geometry.

Lattice parameters (Å, degrees): 5.128 5.128 5.128 90.00 90.00 90.00
Fractional coordinates of all 5 atoms:
Zr: 0.000 0.000 0.000
Zn: 0.500 0.500 0.500
Sn: 0.000 0.500 0.500
Sn: 0.500 0.000 0.500
Sn: 0.500 0.500 0.000

SG = Pm-3m
Polymorph energy (0 for the lowest one) = 0.153 eV per atom


A plane-wave DFT calculation with GGA-PBE was carried out for crystalline Zr3Zn4Sn2 at its relaxed geometry.

Lattice parameters (Å, degrees): 5.605 5.605 8.372 114.02 114.02 46.97
Fractional coordinates of all 9 atoms:
Zr: 0.000 0.000 0.000
Zr: 0.332 0.332 0.333
Zr: 0.668 0.668 0.667
Zn: 0.022 0.022 0.369
Zn: 0.254 0.254 0.937
Zn: 0.746 0.746 0.063
Zn: 0.978 0.978 0.631
Sn: 0.386 0.386 0.722
Sn: 0.614 0.614 0.278

SG = C2/m


A plane-wave DFT calculation with GGA-PBE was carried out for crystalline Zr2ZnSn2 at its relaxed geometry.

Lattice parameters (Å, degrees): 7.332 7.332 4.278 90.00 90.00 90.00
Fractional coordinates of all 10 atoms:
Zr: 0.162 0.338 0.000
Zr: 0.338 0.838 0.000
Zr: 0.662 0.162 0.000
Zr: 0.838 0.662 0.000
Zn: 0.000 0.000 0.000
Zn: 0.500 0.500 0.000
Sn: 0.146 0.646 0.500
Sn: 0.354 0.146 0.500
Sn: 0.646 0.854 0.500
Sn: 0.854 0.354 0.500

SG = P4/mbm
Polymorph energy (0 for the lowest one) = 0.000 eV per atom


A plane-wave DFT calculation with GGA-PBE was carried out for crystalline Zr2ZnSn2 at its relaxed geometry.

Lattice parameters (Å, degrees): 7.302 7.302 4.153 90.00 90.00 90.00
Fractional coordinates of all 10 atoms:
Zr: 0.161 0.339 0.000
Zr: 0.339 0.839 0.000
Zr: 0.661 0.161 0.000
Zr: 0.839 0.661 0.000
Zn: 0.000 0.000 0.500
Zn: 0.500 0.500 0.500
Sn: 0.143 0.643 0.500
Sn: 0.357 0.143 0.500
Sn: 0.643 0.857 0.500
Sn: 0.857 0.357 0.500

SG = P4/mbm
Polymorph energy (0 for the lowest one) = 0.036 eV per atom


A plane-wave DFT calculation with GGA-PBE was carried out for crystalline Zr3ZnSn2 at its relaxed geometry.

Lattice parameters (Å, degrees): 11.657 4.325 10.326 90.00 90.00 90.00
Fractional coordinates of all 24 atoms:
Zr: 0.032 0.250 0.121
Zr: 0.140 0.750 0.590
Zr: 0.212 0.250 0.817
Zr: 0.288 0.750 0.317
Zr: 0.360 0.250 0.090
Zr: 0.468 0.750 0.621
Zr: 0.532 0.250 0.379
Zr: 0.640 0.750 0.910
Zr: 0.712 0.250 0.683
Zr: 0.788 0.750 0.183
Zr: 0.860 0.250 0.410
Zr: 0.968 0.750 0.879
Zn: 0.135 0.250 0.377
Zn: 0.365 0.750 0.877
Zn: 0.635 0.250 0.123
Zn: 0.865 0.750 0.623
Sn: 0.014 0.750 0.320
Sn: 0.185 0.750 0.034
Sn: 0.315 0.250 0.534
Sn: 0.486 0.250 0.820
Sn: 0.514 0.750 0.180
Sn: 0.685 0.750 0.466
Sn: 0.815 0.250 0.966
Sn: 0.986 0.250 0.680

SG = Pnma


A plane-wave DFT calculation with GGA-PBE was carried out for crystalline ZrZnSn2 at its relaxed geometry.

Lattice parameters (Å, degrees): 10.425 10.425 10.425 18.22 18.22 18.22
Fractional coordinates of all 4 atoms:
Zr: 0.000 0.000 0.000
Zn: 0.500 0.500 0.500
Sn: 0.096 0.096 0.096
Sn: 0.904 0.904 0.904

SG = R-3m


A plane-wave DFT calculation with GGA-PBE was carried out for crystalline Zr6Zn2Sn at its relaxed geometry.

Lattice parameters (Å, degrees): 7.992 7.992 7.992 115.83 113.20 99.81
Fractional coordinates of all 18 atoms:
Zr: 0.031 0.817 0.214
Zr: 0.248 0.541 0.293
Zr: 0.248 0.955 0.707
Zr: 0.291 0.295 0.587
Zr: 0.291 0.705 0.996
Zr: 0.397 0.183 0.214
Zr: 0.603 0.817 0.786
Zr: 0.709 0.295 0.004
Zr: 0.709 0.705 0.413
Zr: 0.752 0.045 0.293
Zr: 0.752 0.459 0.707
Zr: 0.969 0.183 0.786
Zn: 0.000 0.150 0.150
Zn: 0.000 0.850 0.850
Zn: 0.379 0.379 0.000
Zn: 0.621 0.621 0.000
Sn: 0.000 0.500 0.500
Sn: 0.500 0.000 0.500

SG = Immm


A plane-wave DFT calculation with GGA-PBE was carried out for crystalline ZrZn3Sn at its relaxed geometry.

Lattice parameters (Å, degrees): 5.197 5.197 5.197 90.00 90.00 90.00
Fractional coordinates of all 5 atoms:
Zr: 0.000 0.000 0.000
Zn: 0.000 0.000 0.500
Zn: 0.000 0.500 0.000
Zn: 0.500 0.000 0.000
Sn: 0.500 0.500 0.500

SG = Pm-3m
Polymorph energy (0 for the lowest one) = 0.020 eV per atom


A plane-wave DFT calculation with GGA-PBE was carried out for crystalline ZrZnSn3 at its relaxed geometry.

Lattice parameters (Å, degrees): 5.582 5.582 5.582 90.00 90.00 90.00
Fractional coordinates of all 5 atoms:
Zr: 0.000 0.000 0.000
Zn: 0.500 0.500 0.500
Sn: 0.000 0.000 0.500
Sn: 0.000 0.500 0.000
Sn: 0.500 0.000 0.000

SG = Pm-3m
Polymorph energy (0 for the lowest one) = 0.000 eV per atom


A plane-wave DFT calculation with GGA-PBE was carried out for crystalline ZrZnSn at its relaxed geometry.

Lattice parameters (Å, degrees): 5.958 5.958 5.958 147.17 147.17 47.11
Fractional coordinates of all 3 atoms:
Zr: 0.000 0.000 0.000
Zn: 0.348 0.348 0.000
Sn: 0.693 0.693 0.000

SG = I4mm


A plane-wave DFT calculation with GGA-PBE was carried out for crystalline ZrZn2Sn2 at its relaxed geometry.

Lattice parameters (Å, degrees): 7.806 7.806 3.501 90.00 90.00 90.00
Fractional coordinates of all 10 atoms:
Zr: 0.000 0.000 0.000
Zr: 0.500 0.500 0.000
Zn: 0.155 0.345 0.500
Zn: 0.345 0.845 0.500
Zn: 0.655 0.155 0.500
Zn: 0.845 0.655 0.500
Sn: 0.146 0.646 0.000
Sn: 0.354 0.146 0.000
Sn: 0.646 0.854 0.000
Sn: 0.854 0.354 0.000

SG = P4/mbm
Polymorph energy (0 for the lowest one) = 0.111 eV per atom


Number 1: ΔH_f (0 K) -0.25 eV per atom, calculated density 7.4 g/cm3. Number 2: ΔH_f (0 K) 0.57 eV per atom, calculated density 6.3 g/cm3. Number 3: ΔH_f (0 K) -0.35 eV per atom, calculated density 7.4 g/cm3. Number 4: ΔH_f (0 K) -0.25 eV per atom, calculated density 7.0 g/cm3. Number 5: ΔH_f (0 K) -0.22 eV per atom, calculated density 7.3 g/cm3. Number 6: ΔH_f (0 K) -0.40 eV per atom, calculated density 7.4 g/cm3. Number 7: ΔH_f (0 K) 0.23 eV per atom, calculated density 6.8 g/cm3. Number 8: ΔH_f (0 K) -0.21 eV per atom, calculated density 6.9 g/cm3. Number 9: ΔH_f (0 K) 0.85 eV per atom, calculated density 4.8 g/cm3. Number 10: ΔH_f (0 K) 0.41 eV per atom, calculated density 4.9 g/cm3. Number 11: ΔH_f (0 K) -0.16 eV per atom, calculated density 7.4 g/cm3. Number 12: ΔH_f (0 K) 0.05 eV per atom, calculated density 7.2 g/cm3.